This record from the Alexandria database describes a geometry-optimized Pm3Nd6Y2In structure. The functional is PBE-GGA.

a b c (Å): 6.276 6.276 11.928
angles (deg): 95.14 95.14 120.24
Positions (direct):
Nd 0.245 0.245 0.753
Pm 0.500 0.500 0.500
Nd 0.594 0.920 0.756
Pm 0.831 0.169 0.500
Y 0.334 0.666 0.000
Y 0.666 0.334 0.000
Nd 0.755 0.755 0.247
Nd 0.920 0.594 0.756
Nd 0.080 0.406 0.244
Nd 0.406 0.080 0.244
In 0.000 0.000 0.000
Pm 0.169 0.831 0.500

---

This record from the Alexandria database describes a geometry-optimized Pm2Nd6Y3In structure. The functional is PBE-GGA.

a b c (Å): 6.244 6.244 11.932
angles (deg): 95.02 95.02 120.12
Positions (direct):
Nd 0.083 0.409 0.249
Nd 0.409 0.083 0.249
Nd 0.917 0.591 0.751
Pm 0.334 0.666 0.000
Nd 0.757 0.757 0.250
Nd 0.591 0.917 0.751
Y 0.167 0.833 0.500
Y 0.500 0.500 0.500
Nd 0.243 0.243 0.750
Pm 0.666 0.334 0.000
In 0.000 0.000 0.000
Y 0.833 0.167 0.500

---

This record from the Alexandria database describes a geometry-optimized Pm3Nd2Y6In structure. The functional is PBE-GGA.

a b c (Å): 6.179 6.179 11.822
angles (deg): 95.01 95.01 120.02
Positions (direct):
Y 0.918 0.592 0.754
Nd 0.666 0.334 0.000
Y 0.756 0.756 0.247
Y 0.408 0.082 0.246
Y 0.082 0.408 0.246
Nd 0.334 0.666 0.000
Y 0.244 0.244 0.753
Pm 0.500 0.500 0.500
Y 0.592 0.918 0.754
Pm 0.833 0.167 0.500
In 0.000 0.000 0.000
Pm 0.167 0.833 0.500

---

This record from the Alexandria database describes a geometry-optimized PmNdYIn structure. The functional is PBE-GGA.

Values from the calculation:
polymorph energy (0 for the lowest one)	18.0	meV per atom

a b c (Å): 5.550 5.550 5.552
angles (deg): 119.98 119.98 90.00
Each line ends with the local moment (μB).
Positions (direct):
Pm 0.750 0.250 0.500  0.21
Y 0.250 0.750 0.500  0.23
Nd 0.500 0.500 0.000  0.34
In 0.000 0.000 0.000  0.00

---

no.,DFT formation energy (eV per atom),spin magnetization (μB per formula unit),uncorrected energy (eV per formula unit)
1,-0.04,0.00,-58.96
2,-0.05,0.00,-60.82
3,-0.06,0.00,-66.02
4,-0.12,1.40,-19.21